# 1
A relaxed structure of YSbOs2. Source: Alexandria, functional GGA-PBE.

## Properties
E_tot in eV/cell: -92.5

a b c (Å): 3.2785 3.2785 25.2021
angles (deg): 90.00 90.00 120.00
Space group R-3m (No. 166, hexagonal axes)
Asymmetric unit:
Y 0.0000 0.0000 0.0000 (multiplicity 3)
Sb 0.0000 0.0000 0.5000 (multiplicity 3)
Os 0.0000 0.0000 0.2436 (multiplicity 6)

---

# 2
A relaxed structure of YSbOs2. Source: Alexandria, functional GGA-PBE.

## Properties
E_tot in eV/cell: -92.4

a b c (Å): 3.0606 3.0606 28.3569
angles (deg): 90.00 90.00 120.00
Space group R3m (No. 160, hexagonal axes)
Asymmetric unit:
Y 0.0000 0.0000 0.0000 (multiplicity 3)
Sb 0.0000 0.0000 0.2372 (multiplicity 3)
Os 0.0000 0.0000 0.4906 (multiplicity 3)
Os 0.0000 0.0000 0.7548 (multiplicity 3)

---

# 3
A relaxed structure of YSbOs2. Source: Alexandria, functional GGA-PBE.

## Properties
E_tot in eV/cell: -123.7

a b c (Å): 6.711 6.711 6.711
angles (deg): 90.00 90.00 90.00
Space group F-43m (No. 216)
Asymmetric unit:
Y 0.000 0.000 0.000 (multiplicity 4)
Sb 0.250 0.250 0.250 (multiplicity 4)
Os 0.000 0.000 0.500 (multiplicity 4)
Os 0.250 0.250 0.750 (multiplicity 4)

---

# 4
A relaxed structure of YSbOs2. Source: Alexandria, functional GGA-PBE.

## Properties
E_tot in eV/cell: -32.3

a b c (Å): 2.972 3.911 6.934
angles (deg): 90.00 90.00 90.00
Space group Pmm2 (No. 25)
Asymmetric unit:
Y 0.000 0.000 0.000 (multiplicity 1)
Sb 0.500 0.500 0.663 (multiplicity 1)
Os 0.000 0.000 0.411 (multiplicity 1)
Os 0.500 0.500 0.265 (multiplicity 1)

---

Calculated values (Å³/atom) of calculated volume for the records, taken in order: 19.55; 19.17; 18.89; 20.15.